# 1
# SmThAuC (PBE, relaxed)
data_SmThAuC
_symmetry_space_group_name_H-M 'P 1'
_symmetry_Int_Tables_number 1
_symmetry_space_group_name_Hall 'P 1'
_cell_length_a 6.4979
_cell_length_b 3.7397
_cell_length_c 7.7759
_cell_angle_alpha 90.00
_cell_angle_beta 106.23
_cell_angle_gamma 90.00
loop_
_atom_site_label
_atom_site_fract_x
_atom_site_fract_y
_atom_site_fract_z
Sm1 0.0000 0.0000 0.0000
Sm2 0.5000 0.5000 0.0000
Th1 0.2037 0.0000 0.6133
Th2 0.7037 0.5000 0.6133
Au1 0.2678 0.5000 0.3028
Au2 0.7678 0.0000 0.3028
C1 0.0988 0.5000 0.7969
C2 0.5988 0.0000 0.7969
# Calculated density (g/cm³): 10.83
# E (eV per atom): -6.60

# 2
# Sc4AlSi (PBE, relaxed)
data_Sc4AlSi
_symmetry_space_group_name_H-M 'P 1'
_symmetry_Int_Tables_number 1
_symmetry_space_group_name_Hall 'P 1'
_cell_length_a 5.6685
_cell_length_b 5.6685
_cell_length_c 5.6685
_cell_angle_alpha 60.00
_cell_angle_beta 60.00
_cell_angle_gamma 60.00
loop_
_atom_site_label
_atom_site_fract_x
_atom_site_fract_y
_atom_site_fract_z
Sc1 0.1251 0.1251 0.1251
Sc2 0.1251 0.1251 0.6247
Sc3 0.1251 0.6247 0.1251
Sc4 0.6247 0.1251 0.1251
Al1 0.5000 0.5000 0.5000
Si1 0.7500 0.7500 0.7500
# Calculated density (g/cm³): 3.03
# E (eV per atom): -5.48
# ΔE_f (raw) (eV/atom): 0.267

# 3
# LaInCo2Tc (PBE, relaxed)
data_LaInCo2Tc
_symmetry_space_group_name_H-M 'P 1'
_symmetry_Int_Tables_number 1
_symmetry_space_group_name_Hall 'P 1'
_cell_length_a 4.5856
_cell_length_b 4.5856
_cell_length_c 4.9684
_cell_angle_alpha 90.00
_cell_angle_beta 90.00
_cell_angle_gamma 90.00
loop_
_atom_site_label
_atom_site_fract_x
_atom_site_fract_y
_atom_site_fract_z
La1 0.0000 0.0000 0.0000
In1 0.5000 0.5000 0.5000
Co1 0.0000 0.5000 0.0000
Co2 0.5000 0.0000 0.0000
Tc1 0.0000 0.0000 0.5000
# Calculated density (g/cm³): 7.46
# E (eV per atom): -4.94